# 1
Here is a relaxed structure of La2MgCr from the Alexandria database. Energies are from PBE.

For the formation energy, the calculation gives 0.1795 eV/atom. For the total energy, the calculation gives -20.4 eV per cell.

It has space group Pmmm (No. 47), with a = 3.830 Å, b = 3.854 Å, c = 7.830 Å, α = 90.00°, β = 90.00° and γ = 90.00°. Symmetry generates all atoms from La at (0.000, 0.000, 0.230), Mg at (0.500, 0.500, 0.500) and Cr at (0.500, 0.500, 0.000).

***

# 2
Here is a relaxed structure of NaLaMgCr2 from the Alexandria database. Energies are from PBE.

For the formation energy, the calculation gives 0.9817 eV/atom. For the total energy, the calculation gives -22.2 eV per cell.

It has space group P4/mmm (No. 123), with a = 5.206 Å, b = 5.206 Å, c = 5.118 Å, α = 90.00°, β = 90.00° and γ = 90.00°. Symmetry generates all atoms from Na at (0.000, 0.000, 0.000), La at (0.500, 0.500, 0.000), Mg at (0.000, 0.000, 0.500) and Cr at (0.000, 0.500, 0.500).